The following is a DFT calculation (GGA-PBEsol) of a relaxed structure of LiY7.

a b c (Å): 9.818 9.818 9.818
angles (deg): 90.00 90.00 90.00
Space group Fm-3m (No. 225)
Symmetry-distinct sites (fractional):
Li  0.000  0.000  0.000 x4
Y  0.000  0.000  0.500 x4
Y  0.000  0.250  0.250 x24

Computed properties:
DFT total energy (eV/f.u.): -48.969
Energy relative to the elements (eV per atom): 0.094